{"formula": "Sr4Ca2Sb3O2", "functional": "GGA-PBE", "state": "relaxed", "cell": [[4.994, 0.000, 0.000], [0.000, 4.994, 0.000], [-2.497, -2.497, 12.967]], "species": ["Sr", "Sr", "Sr", "Sr", "Ca", "Ca", "Sb", "Sb", "Sb", "O", "O"], "frac_coords": [[0.412, 0.912, 0.824], [0.912, 0.412, 0.824], [0.088, 0.588, 0.176], [0.588, 0.088, 0.176], [0.305, 0.305, 0.611], [0.695, 0.695, 0.389], [0.000, 0.000, 0.000], [0.181, 0.181, 0.362], [0.819, 0.819, 0.638], [0.392, 0.392, 0.784], [0.608, 0.608, 0.216]], "space_group": "I4/mmm", "total_energy_ev_per_atom": -4.61, "raw_formation_energy_ev_per_fu": -17.7}

***

{"formula": "CaPbSe2", "functional": "GGA-PBE", "state": "relaxed", "cell": [[4.230, 0.000, 0.000], [2.115, 3.664, 0.000], [2.115, 1.221, 7.382]], "species": ["Ca", "Pb", "Se", "Se"], "frac_coords": [[0.668, 0.668, 0.996], [0.499, 0.499, 0.502], [0.077, 0.077, 0.768], [0.255, 0.255, 0.234]], "space_group": "R3m", "total_energy_ev_per_atom": -4.38, "raw_formation_energy_ev_per_fu": -4.9}

***

{"formula": "Pr6GaCo3", "functional": "GGA-PBE", "state": "relaxed", "cell": [[3.840, 0.000, 0.000], [0.000, 10.136, -3.908], [0.000, 0.580, 13.788]], "species": ["Pr", "Pr", "Pr", "Pr", "Pr", "Pr", "Pr", "Pr", "Pr", "Pr", "Pr", "Pr", "Ga", "Ga", "Co", "Co", "Co", "Co", "Co", "Co"], "frac_coords": [[0.750, 0.527, 0.619], [0.250, 0.473, 0.381], [0.750, 0.830, 0.095], [0.250, 0.170, 0.905], [0.750, 0.443, 0.092], [0.250, 0.557, 0.908], [0.750, 0.726, 0.310], [0.250, 0.274, 0.690], [0.750, 0.147, 0.438], [0.250, 0.853, 0.562], [0.750, 0.845, 0.823], [0.250, 0.155, 0.177], [0.750, 0.060, 0.708], [0.250, 0.940, 0.292], [0.750, 0.351, 0.857], [0.250, 0.649, 0.143], [0.750, 0.660, 0.481], [0.250, 0.340, 0.519], [0.750, 0.062, 0.022], [0.250, 0.938, 0.978]], "space_group": "P2_1/m", "total_energy_ev_per_atom": -5.38, "delta_e_f_ev_per_atom": -0.076}

***

{"formula": "SrReBi2O8", "functional": "GGA-PBE", "state": "relaxed", "cell": [[-3.586, -3.429, -1.589], [0.914, -3.097, 4.068], [-4.875, 3.395, 3.679]], "species": ["Sr", "Re", "Bi", "Bi", "O", "O", "O", "O", "O", "O", "O", "O"], "frac_coords": [[0.000, 0.000, 0.500], [0.000, 0.000, 0.000], [0.500, 0.500, 0.751], [0.500, 0.500, 0.249], [0.180, 0.816, 0.197], [0.742, 0.747, 0.000], [0.820, 0.185, 0.197], [0.820, 0.184, 0.803], [0.258, 0.253, 0.000], [0.180, 0.815, 0.803], [0.674, 0.678, 0.500], [0.326, 0.322, 0.500]], "space_group": "P2/m", "total_energy_ev_per_atom": -6.69, "raw_formation_energy_ev_per_fu": -18.7}

***

{"formula": "LiZn4Rh", "functional": "GGA-PBE", "state": "relaxed", "cell": [[4.151, -0.001, 0.000], [-2.076, 4.805, -0.742], [0.000, 0.639, 4.137]], "species": ["Li", "Zn", "Zn", "Zn", "Zn", "Rh"], "frac_coords": [[0.000, 0.000, 0.000], [0.341, 0.684, 0.000], [0.659, 0.316, 0.000], [0.835, 0.669, 0.500], [0.165, 0.331, 0.500], [0.500, 0.000, 0.500]], "space_group": "Cmmm", "total_energy_ev_per_atom": -2.66, "delta_e_f_ev_per_atom": -0.271}

***

{"formula": "LaDy7Mg4", "functional": "GGA-PBE", "state": "relaxed", "cell": [[-3.578, -2.448, -3.776], [5.624, -5.257, -6.297], [-2.098, -6.759, 1.993]], "species": ["La", "Dy", "Dy", "Dy", "Dy", "Dy", "Dy", "Dy", "Mg", "Mg", "Mg", "Mg"], "frac_coords": [[0.000, 0.000, 0.000], [0.780, 0.880, 0.561], [0.220, 0.120, 0.439], [0.056, 0.616, 0.271], [0.944, 0.384, 0.729], [0.330, 0.608, 0.733], [0.500, 0.000, 0.000], [0.670, 0.392, 0.267], [0.567, 0.215, 0.651], [0.433, 0.785, 0.349], [0.687, 0.667, 0.959], [0.313, 0.333, 0.041]], "space_group": "C2/m", "total_energy_ev_per_atom": -3.41, "delta_e_f_ev_per_atom": 0.217}